This record from Alexandria describes an optimized crystal structure of Cd2NiH2. The functional is PBE.

```
10
Lattice="-2.829 -4.576 0.958 0.320 -1.307 -5.296 3.596 -2.070 0.728" Properties=species:S:1:pos:R:3 pbc="T T T"
H -0.493 -2.186 -3.778
H -2.016 -3.697 -0.560
H -1.915 -4.446 -3.188
H -0.594 -1.437 -1.150
Ni -1.255 -2.942 -2.169
Ni 0.000 0.000 0.000
Cd 1.361 -2.308 -1.099
Cd 1.179 -3.516 -3.631
Cd -0.275 -5.646 -2.510
Cd -0.092 -4.438 0.022
```

Values from the calculation:
Total energy ... -2.62 eV/atom

***

This record from Alexandria describes an optimized crystal structure of Tc2SbPt. The functional is PBE.

```
4
Lattice="-1.822 2.298 -0.496 -1.546 -1.643 -1.938 -4.517 -2.369 5.614" Properties=species:S:1:pos:R:3 pbc="T T T"
Tc -2.724 -0.218 0.076
Tc -0.108 -0.056 0.134
Pt -2.195 -1.152 2.729
Sb -5.116 -1.473 3.049
```

Values from the calculation:
Total energy ... -7.60 eV/atom
Formation energy without anion corrections ... 0.12 eV/atom

***

This record from Alexandria describes an optimized crystal structure of ThNiAgRh. The functional is PBE.

```
4
Lattice="4.727 0.000 0.000 2.364 4.094 0.000 2.364 1.365 3.860" Properties=species:S:1:pos:R:3 pbc="T T T"
Rh 0.000 0.000 0.000
Th 7.091 4.094 2.895
Ni 4.727 2.729 1.930
Ag 2.364 1.365 0.965
```

Values from the calculation:
Total energy ... -6.15 eV/atom
DFT formation energy ... -1.21 eV per formula unit

***

This record from Alexandria describes an optimized crystal structure of MgPW2. The functional is PBE.

```
4
Lattice="4.838 0.016 0.024 3.894 2.872 0.024 1.248 0.413 4.441" Properties=species:S:1:pos:R:3 pbc="T T T"
W 8.572 2.834 0.189
W 7.473 2.471 3.329
P 2.540 0.840 1.024
Mg 5.118 1.692 2.239
```

Values from the calculation:
Total energy ... -7.90 eV/atom
DFT formation energy ... 1.30 eV per formula unit

***

Copy entry 1 word for word.
This record from Alexandria describes an optimized crystal structure of Cd2NiH2. The functional is PBE.

```
10
Lattice="-2.829 -4.576 0.958 0.320 -1.307 -5.296 3.596 -2.070 0.728" Properties=species:S:1:pos:R:3 pbc="T T T"
H -0.493 -2.186 -3.778
H -2.016 -3.697 -0.560
H -1.915 -4.446 -3.188
H -0.594 -1.437 -1.150
Ni -1.255 -2.942 -2.169
Ni 0.000 0.000 0.000
Cd 1.361 -2.308 -1.099
Cd 1.179 -3.516 -3.631
Cd -0.275 -5.646 -2.510
Cd -0.092 -4.438 0.022
```

Values from the calculation:
Total energy ... -2.62 eV/atom